GGA-PBE ThZrBiSb, relaxed; space-group type = F-43m (216); total DFT energy (no corrections) = -6.471 eV/atom
1.0
-0.3689 -3.4187 -4.0792
3.7298 -0.0138 -3.8147
3.4150 -4.0816 -0.3770
Zr Th Bi Sb
1 1 1 1
Cartesian
1.6940 -1.8785 -2.0677 Zr
5.0819 -5.6355 -6.2032 Th
3.3879 -3.7570 -4.1354 Bi
0.0000 0.0000 0.0000 Sb



GGA-PBE MgZnCdAg2, relaxed; space-group type = P3m1 (156); formation energy = -0.23 eV per formula unit; total DFT energy (no corrections) = -1.943 eV/atom
1.0
-4.5287 -0.1659 0.7509
2.5887 -3.7217 0.7404
0.8094 1.6048 5.2365
Ag Mg Cd Zn
2 1 1 1
Cartesian
-1.4551 0.0390 5.2834 Ag
0.3339 -2.3031 1.5050 Ag
0.7827 1.5518 5.0637 Mg
-1.8527 -0.7493 2.7113 Cd
0.7394 -1.4991 4.1287 Zn



GGA-PBE LiNiCl3, relaxed; excess energy over the best structure of this formula in the dataset = 0.230 eV/atom; space-group type = Pm-3m (221); total DFT energy (no corrections) = -3.455 eV/atom
1.0
-0.8549 3.0628 3.4178
-3.8326 -2.3889 1.1821
2.5246 -2.5895 2.9520
Cl Ni Li
3 1 1
Cartesian
-1.9163 -1.1945 0.5910 Cl
-0.4275 1.5314 1.7089 Cl
1.2623 -1.2947 1.4760 Cl
0.0000 0.0000 0.0000 Ni
-1.0815 -0.9578 3.7759 Li



GGA-PBE ScAuSe2, relaxed; space-group type = F-43m (216); total DFT energy (no corrections) = -4.514 eV/atom
1.0
-3.9756 -2.3594 -1.4745
0.0833 -2.5512 -4.1268
-0.1365 -4.8484 0.1418
Au Se Sc
1 2 1
Cartesian
-2.0144 -4.8795 -2.7298 Au
0.0000 0.0000 0.0000 Se
-3.0216 -7.3193 -4.0946 Se
-1.0072 -2.4398 -1.3649 Sc



GGA-PBE CuHgRh2, relaxed; space-group type = I-42d (122); formation energy = 1.95 eV per formula unit; total DFT energy (no corrections) = -4.287 eV/atom
1.0
-3.0839 -1.8404 1.1518
0.9106 -2.9128 -2.2159
3.8785 -6.2406 6.5876
Cu Rh Hg
2 4 2
Cartesian
-1.0866 -2.3766 -0.5320 Cu
1.8512 -5.7650 1.9198 Cu
1.0821 -3.6532 0.4325 Rh
0.9862 -8.7722 4.0608 Rh
-0.7728 -3.0320 2.0632 Rh
2.1149 -6.5301 4.4905 Rh
0.0000 0.0000 0.0000 Hg
-0.1460 -5.2288 3.6037 Hg



GGA-PBE NaRh6S8, relaxed; space-group type = R-3 (148); total DFT energy (no corrections) = -5.684 eV/atom
1.0
6.4856 0.0340 -0.1694
-0.1748 6.4833 -0.1694
0.0329 0.0340 6.4877
S Rh Na
8 6 1
Cartesian
1.5304 1.5804 1.4833 S
4.6573 2.4875 0.7570 S
4.8134 4.9709 4.6655 S
0.8295 4.7350 2.3115 S
2.4571 0.9815 4.6314 S
3.8866 5.5698 1.5175 S
5.5142 1.8164 3.8374 S
1.6864 4.0639 5.3918 S
1.1578 2.6225 3.5431 Rh
5.1859 3.9288 2.6057 Rh
3.6220 1.2416 2.4721 Rh
3.8378 2.8913 5.1022 Rh
2.7217 5.3097 3.6768 Rh
2.5060 3.6601 1.0467 Rh
0.0000 0.0000 0.0000 Na



GGA-PBE LiPmErBe, relaxed; space-group type = F-43m (216); formation energy = 0.59 eV per formula unit; total DFT energy (no corrections) = -3.591 eV/atom
1.0
5.0273 0.0000 0.0000
2.5136 4.3537 0.0000
2.5136 1.4512 4.1047
Pm Be Li Er
1 1 1 1
Cartesian
7.5409 4.3537 3.0786 Pm
5.0273 2.9025 2.0524 Be
0.0000 0.0000 0.0000 Li
2.5136 1.4512 1.0262 Er



GGA-PBE Li2CaCr, relaxed; excess energy over the best structure of this formula in the dataset = 0.027 eV/atom; space-group type = P4/mmm (123); formation energy = 1.72 eV per formula unit; total DFT energy (no corrections) = -3.433 eV/atom
1.0
-0.0063 -3.7219 -2.5223
4.3460 0.6610 -0.9863
1.2373 -2.5422 3.7481
Ca Li Cr
1 2 1
Cartesian
0.6155 -3.1320 0.6129 Ca
2.1698 -1.5304 -1.7543 Li
0.0000 0.0000 0.0000 Li
2.7916 -0.9406 1.3809 Cr



GGA-PBE Li3LaSb3, relaxed; space-group type = Pm-3n (223); total DFT energy (no corrections) = -3.523 eV/atom
1.0
7.1319 0.0000 0.0000
0.0000 7.1319 0.0000
0.0000 0.0000 7.1319
Li La Sb
6 2 6
Cartesian
5.3489 3.5659 0.0000 Li
0.0000 5.3489 3.5659 Li
0.0000 1.7830 3.5659 Li
1.7830 3.5659 0.0000 Li
3.5659 0.0000 5.3489 Li
3.5659 0.0000 1.7830 Li
0.0000 0.0000 0.0000 La
3.5659 3.5659 3.5659 La
0.0000 3.5659 5.3489 Sb
3.5659 1.7830 0.0000 Sb
1.7830 0.0000 3.5659 Sb
3.5659 5.3489 0.0000 Sb
0.0000 3.5659 1.7830 Sb
5.3489 0.0000 3.5659 Sb



GGA-PBE CaNd6Ho8, relaxed; space-group type = P-3 (147); formation energy = 3.31 eV per formula unit; total DFT energy (no corrections) = -4.261 eV/atom
1.0
6.1831 0.0000 0.0000
0.0000 8.6020 -4.9664
0.0000 0.0000 9.9328
Ho Nd Ca
8 6 1
Cartesian
0.3958 5.6827 6.4452 Ho
5.7874 8.4230 -1.6988 Ho
0.3958 2.7403 1.7888 Ho
5.7099 2.8673 4.9664 Ho
5.7874 2.9193 -1.4788 Ho
0.3958 0.1790 6.6652 Ho
5.7874 5.8617 3.1776 Ho
0.4732 5.7347 0.0000 Ho
2.7470 1.1582 3.7365 Nd
3.4361 5.9452 -2.0951 Nd
2.7470 4.7870 4.1011 Nd
3.4361 3.8150 0.8653 Nd
3.4361 7.4439 1.2299 Nd
2.7470 2.6568 7.0615 Nd
3.0916 0.0000 0.0000 Ca



GGA-PBE MgTlF3, relaxed; space-group type = C2/m (12); total DFT energy (no corrections) = -4.705 eV/atom
1.0
-9.9240 -10.0545 1.5617
-4.0305 -2.5807 -2.8531
5.5300 0.6105 -0.3029
Tl F Mg
2 6 2
Cartesian
1.7067 -3.1564 0.2322 Tl
-10.1312 -8.8683 -1.8264 Tl
-5.6319 -5.2094 -1.9730 F
-3.4779 -3.4044 -2.0763 F
-2.7926 -6.8153 0.3787 F
-4.9466 -8.6203 0.4821 F
-0.8832 -1.8028 -1.8433 F
-7.5413 -10.2219 0.2491 F
-12.6435 -11.7076 -1.2476 Mg
4.2190 -0.3171 -0.3466 Mg



GGA-PBE LiAlZn5, relaxed; space-group type = Pnma (62); formation energy = -0.48 eV per formula unit; total DFT energy (no corrections) = -1.787 eV/atom
1.0
5.2743 0.0000 0.0000
0.0000 8.1064 0.0000
0.0000 0.0000 10.6115
Zn Al Li
20 4 4
Cartesian
1.3186 5.5739 2.7583 Zn
3.9557 3.2525 10.3935 Zn
3.9557 6.5857 8.0641 Zn
1.3186 7.5709 0.9309 Zn
1.3186 3.5177 4.3748 Zn
5.2095 3.5452 2.0134 Zn
1.3186 1.5207 2.5474 Zn
0.0648 0.5080 7.3192 Zn
0.0648 4.5612 8.5981 Zn
3.9557 4.5887 6.2367 Zn
2.7019 7.5984 3.2924 Zn
2.7019 3.5452 2.0134 Zn
1.3186 4.8539 0.2180 Zn
5.2095 7.5984 3.2924 Zn
3.9557 2.5325 7.8532 Zn
3.9557 0.5355 9.6806 Zn
2.5723 4.5612 8.5981 Zn
2.5723 0.5080 7.3192 Zn
1.3186 0.8007 5.0877 Zn
3.9557 7.3057 5.5238 Zn
1.3186 2.9334 6.8348 Al
3.9557 1.1198 1.5290 Al
3.9557 5.1730 3.7768 Al
1.3186 6.9866 9.0825 Al
3.9557 6.0719 0.7442 Li
1.3186 2.0345 9.8674 Li
1.3186 6.0877 6.0499 Li
3.9557 2.0187 4.5616 Li



GGA-PBE Tl2SiOsPd, relaxed; space-group type = P4/mmm (123); total DFT energy (no corrections) = -4.142 eV/atom
1.0
5.2246 0.0000 0.0000
0.0000 4.8950 0.0000
0.0000 0.0000 5.2246
Os Tl Si Pd
1 2 1 1
Cartesian
0.0000 0.0000 0.0000 Os
2.6123 0.0000 0.0000 Tl
0.0000 0.0000 2.6123 Tl
2.6123 2.4475 2.6123 Si
0.0000 2.4475 0.0000 Pd



GGA-PBE LaIn2Re, relaxed; excess energy over the best structure of this formula in the dataset = 0.000 eV/atom; space-group type = C2/m (12); formation energy = 0.72 eV per formula unit; total DFT energy (no corrections) = -5.532 eV/atom
1.0
5.2351 -0.0260 0.0069
3.8524 3.5449 0.0069
1.5396 0.5962 5.2024
La Re In
1 1 2
Cartesian
2.6568 1.0288 1.3041 La
7.9704 3.0863 3.9122 Re
1.6678 0.6458 4.8313 In
5.1854 2.0079 2.9792 In



GGA-PBE EuTmBiAu, relaxed; space-group type = F-43m (216); formation energy = -2.68 eV per formula unit; total DFT energy (no corrections) = -6.145 eV/atom
1.0
-2.4475 3.7361 2.9551
-5.2265 0.9513 -0.6786
-3.4992 -1.4489 3.7865
Eu Au Bi Tm
1 1 1 1
Cartesian
-2.7933 0.8096 1.5158 Eu
0.0000 0.0000 0.0000 Au
-5.5866 1.6192 3.0315 Bi
-8.3799 2.4289 4.5473 Tm



GGA-PBE K2CdPb3, relaxed; space-group type = Cm (8); formation energy = -0.95 eV per formula unit; total DFT energy (no corrections) = -2.530 eV/atom
1.0
4.9921 0.0000 2.0907
2.3466 6.2721 1.4022
0.0953 -0.4368 6.7779
Pb Cd K
3 1 2
Cartesian
5.6866 3.3940 7.4376 Pb
2.6398 4.3843 7.7074 Pb
4.7431 1.5119 2.6851 Pb
1.8152 2.3987 2.6711 Cd
3.3166 0.8672 6.0913 K
4.1004 4.9497 4.2197 K



GGA-PBE HfMnP2Cl, relaxed; excess energy over the best structure of this formula in the dataset = 0.472 eV/atom; space-group type = P4/mmm (123); total DFT energy (no corrections) = -5.702 eV/atom
1.0
5.0138 0.0000 0.0000
0.0000 5.0138 0.0000
0.0000 0.0000 4.8065
P Hf Cl Mn
2 1 1 1
Cartesian
2.5069 0.0000 0.0000 P
0.0000 2.5069 0.0000 P
0.0000 0.0000 0.0000 Hf
0.0000 0.0000 2.4033 Cl
2.5069 2.5069 2.4033 Mn



GGA-PBE BeIOF2, relaxed; excess energy over the best structure of this formula in the dataset = 1.527 eV/atom; space-group type = P4/mmm (123); total DFT energy (no corrections) = -2.749 eV/atom
1.0
-2.2259 -2.2038 -3.6427
4.0275 0.2426 -2.6078
1.1553 -3.5676 1.4524
O F Be I
1 2 1 1
Cartesian
0.5776 -1.7838 0.7262 O
2.0138 0.1213 -1.3039 F
-1.1130 -1.1019 -1.8213 F
1.4784 -2.7644 -2.3991 Be
0.0000 0.0000 0.0000 I



GGA-PBE YMg2TaAu, relaxed; space-group type = P4/mmm (123); formation energy = 2.00 eV per formula unit; total DFT energy (no corrections) = -4.556 eV/atom
1.0
-3.6790 -2.7283 -1.7973
3.3183 -4.0375 -0.6636
-1.0338 -1.5955 4.5381
Ta Y Mg Au
1 1 2 1
Cartesian
1.6592 -2.0188 -0.3318 Ta
-0.6973 -4.1807 1.0386 Y
-1.8395 -1.3641 -0.8987 Mg
-0.5169 -0.7978 2.2691 Mg
0.0000 0.0000 0.0000 Au



GGA-PBE As2PtAu, relaxed; excess energy over the best structure of this formula in the dataset = 0.052 eV/atom; space-group type = Pm (6); formation energy = -0.06 eV per formula unit; total DFT energy (no corrections) = -4.669 eV/atom
1.0
-2.7396 2.0831 -0.9660
-1.8719 -3.2650 -1.7319
-3.5671 -3.1854 3.2471
Au Pt As
1 1 2
Cartesian
-2.7228 -3.4000 0.3901 Au
-5.5056 -3.7146 0.9899 Pt
-2.9616 -0.7381 0.1936 As
-3.2752 -2.9253 2.9802 As